This record from Alexandria describes a relaxed structure of NaLiW4O12. The functional is GGA+U.

The structure belongs to space group Amm2 (No. 38); the cell edges are 7.736, 7.638 and 7.708 Å and the angles 90.00°, 90.00° and 90.00°. The distinct sites, in fractional coordinates, are Na at (0.000, 0.000, 0.000), Li at (0.500, 0.000, 0.453), W at (0.251, 0.249, 0.742), O at (0.000, 0.211, 0.740), O at (0.215, 0.000, 0.278), O at (0.248, 0.209, 0.993), O at (0.295, 0.000, 0.696) and O at (0.500, 0.206, 0.259).

The calculated total energy comes out at -7.0877 eV per atom.